Run a
DFT (PBE-GGA) results for a geometry-optimized TaSi3F structure.

Structure (extended XYZ):
```
5
Lattice="4.207 0.000 0.000 0.000 4.207 0.000 0.000 0.000 4.207" Properties=species:S:1:pos:R:3 pbc="T T T"
Si 0.000 2.104 0.000
Si 0.000 0.000 2.104
Si 2.104 0.000 0.000
F 0.000 0.000 0.000
Ta 2.104 2.104 2.104
```

Properties
The calculation puts the spin magnetization at 0.000 μB/atom. The density comes out at 6.34 g cm⁻³.

***

Run b
DFT (PBE-GGA) results for a geometry-optimized TaSi3F structure.

Structure (extended XYZ):
```
5
Lattice="-0.306 4.867 -0.051 -4.864 -0.307 -0.170 -0.173 0.041 4.873" Properties=species:S:1:pos:R:3 pbc="T T T"
Si -2.432 -0.154 -0.085
Si -0.086 0.020 2.437
Si -0.153 2.433 -0.026
F -2.671 2.300 2.326
Ta 0.000 0.000 0.000
```

Properties
The calculation puts the spin magnetization at 0.000 μB/atom. The density comes out at 4.07 g cm⁻³.

***

Computed energies relative to the best structure, in meV/atom: run a 0; run b 141

***

Run a
DFT (PBE-GGA) results for a geometry-optimized SiTc2F structure.

Structure (extended XYZ):
```
4
Lattice="1.094 -3.986 0.529 0.075 -1.650 3.826 -2.863 -2.816 1.111" Properties=species:S:1:pos:R:3 pbc="T T T"
Si -0.847 -4.226 2.733
Tc -0.424 -2.113 1.366
Tc -1.271 -6.339 4.099
F 0.000 0.000 0.000
```

Properties
The calculation puts the spin magnetization at 0.000 μB/atom. The density comes out at 7.89 g cm⁻³.

***

Run b
DFT (PBE-GGA) results for a geometry-optimized SiTc2F structure.

Structure (extended XYZ):
```
8
Lattice="6.350 0.000 0.000 0.000 6.350 0.000 3.175 3.175 2.698" Properties=species:S:1:pos:R:3 pbc="T T T"
Si 0.000 0.000 0.000
Si 6.350 3.175 1.349
Tc 4.594 1.588 0.674
Tc 1.756 4.763 0.674
Tc 4.763 4.932 2.023
Tc 7.938 7.769 2.023
F 3.175 3.175 0.000
F 3.175 6.350 1.349
```

Properties
The calculation puts the spin magnetization at 0.160 μB/atom. The density comes out at 7.42 g cm⁻³.

***

Computed energies relative to the best structure, in meV/atom: run a 0; run b 277